This record from Alexandria describes crystalline Tb2Tl2RuO6 at its relaxed geometry. The functional is GGA-PBE.

Geometry as extended XYZ:
```
11
Lattice="2.9095 -5.0357 0.0000 2.9095 5.0357 0.0000 -1.6854 0.0000 6.5575" Properties=species:S:1:pos:R:3 pbc="T T T"
Tb 2.9095 3.3743 0.0000
Tb 2.9095 -3.3743 0.0000
Tl 2.0668 1.6269 3.2788
Tl 2.0668 -1.6269 3.2788
Ru 2.9095 0.0000 0.0000
O 0.3470 1.5474 5.4930
O 1.1622 0.0000 1.1266
O 0.3470 -1.5474 5.4930
O 3.7866 1.5474 1.0646
O 2.9715 0.0000 5.4310
O 3.7866 -1.5474 1.0646
```

Total magnetization (μB/f.u.): 2.0
Formation energy without anion corrections (eV per atom): -1.90